# 1
Below is Li3VCr2O6 after structural relaxation, with properties calculated at the PBE with a Hubbard U level.

## Properties
The total magnetization is 0.6667 μB per atom. The volume is 9.37 Å³/atom. The total energy is -6.903 eV per atom.

```
12
Lattice="6.516 -1.487 0.000 6.516 1.487 0.000 -1.341 0.000 5.802" Properties=species:S:1:pos:R:3 pbc="T T T"
Li 0.000 0.000 0.000
Li 3.431 0.000 3.866
Li 8.260 0.000 1.937
V -0.670 0.000 2.901
Cr 4.113 0.000 0.961
Cr 7.577 0.000 4.841
O 1.314 0.000 3.476
O 2.160 0.000 0.406
O 6.084 0.000 1.503
O 5.607 0.000 4.299
O 9.530 0.000 5.397
O 10.377 0.000 2.326
```

# 2
Below is Li3VCr4O8 after structural relaxation, with properties calculated at the PBE with a Hubbard U level.

## Properties
The total magnetization is 1.0000 μB per atom. The volume is 9.77 Å³/atom. The total energy is -7.083 eV per atom.

```
16
Lattice="5.270 -2.963 0.000 5.270 2.963 0.000 -3.211 0.000 5.002" Properties=species:S:1:pos:R:3 pbc="T T T"
Li 0.000 0.000 0.000
Li 1.030 1.482 2.501
Li 1.030 -1.482 2.501
V 3.665 0.000 2.501
Cr -1.606 0.000 2.501
Cr 2.635 1.482 0.000
Cr 2.635 -1.482 0.000
Cr 5.270 0.000 0.000
O 4.346 1.474 1.140
O 1.924 0.000 1.198
O 0.313 0.000 3.898
O 2.983 1.474 3.862
O 4.346 -1.474 1.140
O 7.017 0.000 1.105
O 5.405 0.000 3.804
O 2.983 -1.474 3.862
```

# 3
Below is Li3V3CrO8 after structural relaxation, with properties calculated at the PBE with a Hubbard U level.

## Properties
The total magnetization is 0.5333 μB per atom. As for the energy above the most stable polymorph in this dataset: 0.000 eV per atom. The volume is 10.08 Å³/atom. The total energy is -7.074 eV per atom.

```
30
Lattice="5.224 0.000 0.000 -1.763 5.715 0.000 -0.873 -3.357 10.132" Properties=species:S:1:pos:R:3 pbc="T T T"
Li 0.000 0.000 0.000
Li -0.877 -1.796 7.625
Li -1.725 2.575 5.140
Li -0.869 -0.144 5.093
Li -1.690 4.095 2.606
Li -0.854 2.906 0.148
V 1.649 -2.587 8.913
V 0.828 0.327 8.916
V 1.718 0.603 3.807
V 1.735 2.145 1.353
V 1.782 -0.963 6.456
V 0.967 5.041 1.384
Cr 0.829 3.429 3.894
Cr 0.861 1.872 6.398
O 0.057 -1.472 9.560
O -0.754 3.003 6.941
O -0.754 1.371 9.696
O 1.009 -1.183 4.563
O 0.185 0.052 6.974
O 1.028 0.325 2.080
O 0.157 1.634 4.549
O 0.180 3.267 1.999
O 1.510 2.125 8.290
O 2.435 0.778 5.637
O 2.460 -0.795 8.180
O 3.328 1.089 0.633
O 2.427 2.385 3.299
O 3.329 -0.512 3.315
O 1.586 3.673 5.782
O 2.553 3.901 0.670
```

# 4
Below is Li10V3Cr5O16 after structural relaxation, with properties calculated at the PBE with a Hubbard U level.

## Properties
The total magnetization is 0.6765 μB per atom. The volume is 9.05 Å³/atom. The total energy is -6.578 eV per atom.

```
34
Lattice="5.946 0.000 0.000 2.973 5.253 0.000 0.002 0.064 9.853" Properties=species:S:1:pos:R:3 pbc="T T T"
Li 0.000 0.000 0.000
Li 2.972 5.229 4.947
Li 1.723 1.110 4.247
Li 2.976 3.246 4.259
Li 2.975 1.779 2.118
Li 4.712 4.276 9.194
Li 4.230 1.113 4.244
Li 5.946 3.469 7.040
Li 5.949 2.155 9.220
Li 7.191 4.274 9.191
V 1.552 0.885 6.899
V 4.391 0.884 6.900
V 5.948 1.761 1.979
Cr 2.973 3.494 6.918
Cr 2.975 1.762 9.475
Cr 4.481 4.367 1.990
Cr 5.945 3.498 4.533
Cr 7.413 4.366 1.991
O 2.965 5.217 7.983
O 2.974 5.182 3.077
O 1.598 2.620 8.158
O 2.974 3.514 0.816
O 1.508 0.804 0.762
O 2.980 1.830 5.721
O 4.448 4.334 5.719
O 4.352 2.620 8.156
O 2.979 0.143 8.210
O 4.535 2.752 3.224
O 5.947 5.146 3.215
O 5.947 3.555 0.841
O 4.440 0.806 0.764
O 5.939 1.720 5.640
O 7.440 4.336 5.723
O 7.359 2.752 3.226
```